Material: Mg2ReCl
Method: DFT, PBEsol
State: relaxed

Unit cell a=2.899 b=4.844 c=10.295 alpha=90.00 beta=90.00 gamma=90.00
Space group Imm2 (No. 44)
Asymmetric unit:
Mg  0.000  0.000  0.000 (multiplicity 2)
Mg  0.000  0.500  0.194 (multiplicity 2)
Re  0.000  0.500  0.730 (multiplicity 2)
Cl  0.000  0.000  0.419 (multiplicity 2)

Polymorph energy (0 for the lowest one) (meV per atom): 0
Uncorrected formation energy (eV/f.u.): 0.80